# 1
Compound: Tm2AgPt9
Source: Alexandria
Functional: GGA-PBE
Structure: optimized geometry

a b c (Å): 4.066 4.066 12.181
angles (deg): 90.00 90.00 90.00
Atoms (fractional coordinates):
Tm (0.000, 0.000, 0.670)
Tm (0.000, 0.000, 0.330)
Pt (0.500, 0.000, 0.837)
Pt (0.000, 0.500, 0.500)
Pt (0.500, 0.500, 0.332)
Pt (0.500, 0.500, 0.668)
Pt (0.500, 0.000, 0.500)
Pt (0.500, 0.000, 0.163)
Pt (0.500, 0.500, 0.000)
Pt (0.000, 0.500, 0.837)
Pt (0.000, 0.500, 0.163)
Ag (0.000, 0.000, 0.000)

Results
**Energy of formation from the pure elements**: -0.70 eV per atom
**Total magnetization**: 0.00 Bohr magnetons per cell
**DOS at the Fermi energy**: 16.04 states/eV per cell


# 2
Compound: Tm3Ag2Pt2
Source: Alexandria
Functional: GGA-PBE
Structure: optimized geometry

a b c (Å): 4.065 3.604 10.750
angles (deg): 90.00 79.10 90.00
Atoms (fractional coordinates):
Ag (0.572, 0.500, 0.856)
Ag (0.428, 0.500, 0.144)
Tm (0.171, 0.000, 0.658)
Tm (0.829, 0.000, 0.342)
Tm (0.000, 0.000, 0.000)
Pt (0.295, 0.500, 0.410)
Pt (0.705, 0.500, 0.590)

Results
**Energy of formation from the pure elements**: -0.74 eV per atom
**Total magnetization**: 0.00 Bohr magnetons per cell
**DOS at the Fermi energy**: 4.00 states/eV per cell


# 3
Compound: Tm3AgPt
Source: Alexandria
Functional: GGA-PBE
Structure: optimized geometry

a b c (Å): 4.968 4.954 9.928
angles (deg): 90.00 75.51 90.00
Atoms (fractional coordinates):
Ag (0.166, 0.250, 0.316)
Ag (0.482, 0.750, 0.684)
Tm (0.074, 0.750, 0.501)
Tm (0.255, 0.750, 0.139)
Tm (0.894, 0.750, 0.860)
Tm (0.754, 0.250, 0.140)
Tm (0.394, 0.250, 0.861)
Tm (0.575, 0.250, 0.499)
Pt (0.664, 0.750, 0.320)
Pt (0.984, 0.250, 0.680)

Results
**Distance to the lowest polymorph of the same formula**: 0.000 eV per atom
**Energy of formation from the pure elements**: -0.64 eV per atom
**Total magnetization**: 0.00 Bohr magnetons per cell
**DOS at the Fermi energy**: 7.33 states/eV per cell


# 4
Compound: Tm4AgPt
Source: Alexandria
Functional: GGA-PBE
Structure: optimized geometry

a b c (Å): 4.853 4.853 6.964
angles (deg): 89.99 90.00 90.00
Atoms (fractional coordinates):
Ag (0.501, 0.497, 0.998)
Tm (0.501, 0.997, 0.736)
Tm (0.001, 0.497, 0.260)
Tm (0.501, 0.997, 0.260)
Tm (0.001, 0.497, 0.736)
Pt (0.001, 0.997, 0.498)

Results
**Distance to the lowest polymorph of the same formula**: 0.174 eV per atom
**Energy of formation from the pure elements**: -0.45 eV per atom
**Total magnetization**: 0.00 Bohr magnetons per cell
**DOS at the Fermi energy**: 5.79 states/eV per cell


# 5
Compound: Tm4AgPt
Source: Alexandria
Functional: GGA-PBE
Structure: optimized geometry

a b c (Å): 9.446 9.446 9.446
angles (deg): 60.00 60.00 60.00
Atoms (fractional coordinates):
Ag (0.166, 0.166, 0.166)
Ag (0.166, 0.166, 0.501)
Ag (0.166, 0.501, 0.166)
Ag (0.501, 0.166, 0.166)
Tm (0.185, 0.815, 0.185)
Tm (0.939, 0.561, 0.561)
Tm (0.815, 0.185, 0.185)
Tm (0.185, 0.815, 0.815)
Tm (0.939, 0.939, 0.561)
Tm (0.561, 0.939, 0.939)
Tm (0.815, 0.815, 0.185)
Tm (0.561, 0.939, 0.561)
Tm (0.939, 0.561, 0.939)
Tm (0.815, 0.185, 0.815)
Tm (0.561, 0.561, 0.939)
Tm (0.393, 0.393, 0.393)
Tm (0.185, 0.185, 0.815)
Tm (0.820, 0.393, 0.393)
Tm (0.393, 0.393, 0.820)
Tm (0.393, 0.820, 0.393)
Pt (0.605, 0.605, 0.605)
Pt (0.605, 0.185, 0.605)
Pt (0.605, 0.605, 0.185)
Pt (0.185, 0.605, 0.605)

Results
**Distance to the lowest polymorph of the same formula**: 0.000 eV per atom
**Energy of formation from the pure elements**: -0.62 eV per atom
**Total magnetization**: 0.00 Bohr magnetons per cell
**DOS at the Fermi energy**: 22.83 states/eV per cell


# 6
Compound: Tm8Ag2Pt
Source: Alexandria
Functional: GGA-PBE
Structure: optimized geometry

a b c (Å): 5.119 6.748 9.048
angles (deg): 106.38 106.43 90.00
Atoms (fractional coordinates):
Tm (0.202, 0.315, 0.405)
Tm (0.339, 0.029, 0.677)
Tm (0.027, 0.785, 0.055)
Tm (0.661, 0.971, 0.323)
Tm (0.798, 0.685, 0.595)
Tm (0.591, 0.437, 0.181)
Tm (0.973, 0.215, 0.945)
Tm (0.409, 0.563, 0.819)
Pt (0.500, 0.000, 0.000)
Ag (0.816, 0.279, 0.632)
Ag (0.184, 0.721, 0.368)

Results
**Energy of formation from the pure elements**: -0.35 eV per atom
**Total magnetization**: 0.00 Bohr magnetons per cell
**DOS at the Fermi energy**: 9.63 states/eV per cell


# 7
Compound: Tm3AgPt
Source: Alexandria
Functional: GGA-PBE
Structure: optimized geometry

a b c (Å): 4.596 6.679 8.362
angles (deg): 90.00 90.00 90.00
Atoms (fractional coordinates):
Tm (0.750, 0.999, 0.661)
Tm (0.250, 0.001, 0.339)
Tm (0.250, 0.250, 0.950)
Tm (0.250, 0.499, 0.339)
Tm (0.750, 0.501, 0.661)
Tm (0.750, 0.750, 0.050)
Ag (0.250, 0.750, 0.823)
Ag (0.750, 0.250, 0.177)
Pt (0.750, 0.750, 0.386)
Pt (0.250, 0.250, 0.614)

Results
**Distance to the lowest polymorph of the same formula**: 0.033 eV per atom
**Energy of formation from the pure elements**: -0.61 eV per atom
**Total magnetization**: 0.00 Bohr magnetons per cell
**DOS at the Fermi energy**: 9.36 states/eV per cell


# 8
Compound: Tm4Ag3Pt
Source: Alexandria
Functional: GGA-PBE
Structure: optimized geometry

a b c (Å): 3.541 3.541 14.255
angles (deg): 90.00 90.00 90.00
Atoms (fractional coordinates):
Ag (0.500, 0.500, 0.500)
Ag (0.500, 0.500, 0.246)
Ag (0.500, 0.500, 0.754)
Tm (0.000, 0.000, 0.628)
Tm (0.000, 0.000, 0.115)
Tm (0.000, 0.000, 0.885)
Tm (0.000, 0.000, 0.372)
Pt (0.500, 0.500, 0.000)

Results
**Energy of formation from the pure elements**: -0.59 eV per atom
**Total magnetization**: 0.00 Bohr magnetons per cell
**DOS at the Fermi energy**: 3.04 states/eV per cell


# 9
Compound: Tm2Ag2Pt
Source: Alexandria
Functional: GGA-PBE
Structure: optimized geometry

a b c (Å): 5.589 6.506 7.552
angles (deg): 115.52 111.72 90.00
Atoms (fractional coordinates):
Tm (0.838, 0.135, 0.675)
Tm (0.338, 0.541, 0.675)
Tm (0.162, 0.865, 0.325)
Tm (0.662, 0.459, 0.325)
Ag (0.093, 0.238, 0.186)
Ag (0.593, 0.949, 0.186)
Ag (0.407, 0.051, 0.814)
Ag (0.907, 0.762, 0.814)
Pt (0.250, 0.500, 0.000)
Pt (0.750, 0.500, 0.000)

Results
**Distance to the lowest polymorph of the same formula**: 0.119 eV per atom
**Energy of formation from the pure elements**: -0.49 eV per atom
**Total magnetization**: 0.00 Bohr magnetons per cell
**DOS at the Fermi energy**: 6.11 states/eV per cell


# 10
Compound: YTmAgPt
Source: Alexandria
Functional: GGA-PBE
Structure: optimized geometry

a b c (Å): 4.995 4.995 4.995
angles (deg): 60.00 60.00 60.00
Atoms (fractional coordinates):
Y (0.500, 0.500, 0.500)
Tm (0.000, 0.000, 0.000)
Pt (0.750, 0.750, 0.750)
Ag (0.250, 0.250, 0.250)

Results
**Energy of formation from the pure elements**: -0.80 eV per atom
**Total magnetization**: 0.00 Bohr magnetons per cell
**DOS at the Fermi energy**: 2.84 states/eV per cell


# 11
Compound: U2Ag2Pt15
Source: Alexandria
Functional: GGA-PBE
Structure: optimized geometry

a b c (Å): 7.049 7.049 7.049
angles (deg): 81.98 81.98 81.98
Atoms (fractional coordinates):
Ag (0.629, 0.629, 0.629)
Ag (0.371, 0.371, 0.371)
Pt (0.500, 0.000, 0.000)
Pt (0.000, 0.680, 0.320)
Pt (0.342, 0.342, 0.839)
Pt (0.342, 0.839, 0.342)
Pt (0.658, 0.161, 0.658)
Pt (0.000, 0.000, 0.500)
Pt (0.000, 0.500, 0.000)
Pt (0.161, 0.658, 0.658)
Pt (0.680, 0.000, 0.320)
Pt (0.320, 0.680, 0.000)
Pt (0.658, 0.658, 0.161)
Pt (0.680, 0.320, 0.000)
Pt (0.839, 0.342, 0.342)
Pt (0.320, 0.000, 0.680)
Pt (0.000, 0.320, 0.680)
U (0.088, 0.088, 0.088)
U (0.912, 0.912, 0.912)

Results
**Energy of formation from the pure elements**: -0.19 eV per atom
**Total magnetization**: 0.00 Bohr magnetons per cell
**DOS at the Fermi energy**: 21.74 states/eV per cell


# 12
Compound: U2AgPt9
Source: Alexandria
Functional: GGA-PBE
Structure: optimized geometry

a b c (Å): 4.143 4.143 12.080
angles (deg): 90.00 90.00 90.00
Last column: magnetic moment on the atom in μB.
Atoms (fractional coordinates):
Pt (0.500, 0.000, 0.834)  -0.06
Pt (0.500, 0.500, 0.668)  -0.04
Pt (0.500, 0.500, 0.000)  -0.07
Pt (0.000, 0.500, 0.166)  -0.06
Pt (0.500, 0.500, 0.332)  -0.04
Pt (0.000, 0.500, 0.500)  -0.04
Pt (0.500, 0.000, 0.166)  -0.06
Pt (0.000, 0.500, 0.834)  -0.06
Pt (0.500, 0.000, 0.500)  -0.04
U (0.000, 0.000, 0.324)  1.21
U (0.000, 0.000, 0.676)  1.21
Ag (0.000, 0.000, 0.000)  -0.01

Results
**Distance to the lowest polymorph of the same formula**: 0.000 eV per atom
**Energy of formation from the pure elements**: -0.54 eV per atom
**Total magnetization**: 2.06 Bohr magnetons per cell
**DOS at the Fermi energy**: 13.87 states/eV per cell


# 13
Compound: UAgPt6
Source: Alexandria
Functional: GGA-PBE
Structure: optimized geometry

a b c (Å): 4.701 5.765 5.765
angles (deg): 119.99 90.00 90.00
Atoms (fractional coordinates):
Pt (0.000, 0.584, 0.919)
Pt (0.500, 0.915, 0.580)
Pt (0.000, 0.584, 0.416)
Pt (0.500, 0.420, 0.085)
Pt (0.000, 0.081, 0.416)
Pt (0.500, 0.915, 0.085)
U (0.500, 0.417, 0.583)
Ag (0.000, 0.083, 0.917)

Results
**Energy of formation from the pure elements**: -0.39 eV per atom
**Total magnetization**: 0.03 Bohr magnetons per cell
**DOS at the Fermi energy**: 7.42 states/eV per cell


# 14
Compound: U2AgPt9
Source: Alexandria
Functional: GGA-PBE
Structure: optimized geometry

a b c (Å): 5.370 5.370 9.374
angles (deg): 73.35 73.35 60.00
Last column: magnetic moment on the atom in μB.
Atoms (fractional coordinates):
Pt (0.588, 0.588, 0.743)  -0.08
Pt (0.919, 0.412, 0.257)  -0.08
Pt (0.412, 0.919, 0.257)  -0.08
Pt (0.668, 0.668, 0.997)  -0.03
Pt (0.588, 0.081, 0.743)  -0.08
Pt (0.332, 0.332, 0.003)  -0.03
Pt (0.412, 0.412, 0.257)  -0.08
Pt (0.500, 0.500, 0.500)  -0.05
Pt (0.081, 0.588, 0.743)  -0.08
U (0.862, 0.862, 0.415)  2.14
U (0.138, 0.138, 0.585)  2.14
Ag (0.000, 0.000, 0.000)  0.01

Results
**Distance to the lowest polymorph of the same formula**: 0.148 eV per atom
**Energy of formation from the pure elements**: -0.39 eV per atom
**Total magnetization**: 4.16 Bohr magnetons per cell
**DOS at the Fermi energy**: 15.66 states/eV per cell


# 15
Compound: V2AgPt9
Source: Alexandria
Functional: GGA-PBE
Structure: optimized geometry

a b c (Å): 3.943 3.943 11.841
angles (deg): 90.00 90.00 90.00
Last column: magnetic moment on the atom in μB.
Atoms (fractional coordinates):
Pt (0.000, 0.500, 0.500)  -0.06
Pt (0.500, 0.000, 0.500)  -0.06
Pt (0.500, 0.000, 0.178)  -0.06
Pt (0.500, 0.500, 0.661)  -0.08
Pt (0.500, 0.500, 0.000)  -0.04
Pt (0.500, 0.500, 0.339)  -0.08
Pt (0.000, 0.500, 0.822)  -0.06
Pt (0.500, 0.000, 0.822)  -0.06
Pt (0.000, 0.500, 0.178)  -0.06
V (0.000, 0.000, 0.327)  0.60
V (0.000, 0.000, 0.673)  0.60
Ag (0.000, 0.000, 0.000)  -0.01

Results
**Energy of formation from the pure elements**: -0.34 eV per atom
**Total magnetization**: 0.72 Bohr magnetons per cell
**DOS at the Fermi energy**: 12.26 states/eV per cell


# 16
Compound: VAgPt3
Source: Alexandria
Functional: GGA-PBE
Structure: optimized geometry

a b c (Å): 4.638 4.638 4.638
angles (deg): 90.00 90.00 90.00
Atoms (fractional coordinates):
Pt (0.500, 0.000, 0.000)
Pt (0.000, 0.500, 0.000)
Pt (0.000, 0.000, 0.500)
Ag (0.500, 0.500, 0.500)
V (0.000, 0.000, 0.000)

Results
**Distance to the lowest polymorph of the same formula**: 0.000 eV per atom
**Energy of formation from the pure elements**: 0.69 eV per atom
**Total magnetization**: 0.00 Bohr magnetons per cell
**DOS at the Fermi energy**: 4.03 states/eV per cell


# 17
Compound: V2AgPt
Source: Alexandria
Functional: GGA-PBE
Structure: optimized geometry

a b c (Å): 7.122 7.122 5.680
angles (deg): 51.17 51.17 90.00
Atoms (fractional coordinates):
V (0.095, 0.625, 0.250)
V (0.655, 0.125, 0.250)
V (0.375, 0.345, 0.750)
V (0.875, 0.905, 0.750)
Ag (0.500, 0.500, 0.000)
Ag (0.250, 0.750, 0.500)
Pt (0.750, 0.250, 0.500)
Pt (0.000, 0.000, 0.000)

Results
**Energy of formation from the pure elements**: 0.40 eV per atom
**Total magnetization**: 0.00 Bohr magnetons per cell
**DOS at the Fermi energy**: 10.64 states/eV per cell


# 18
Compound: VAg3Pt
Source: Alexandria
Functional: GGA-PBE
Structure: optimized geometry

a b c (Å): 5.047 5.047 5.047
angles (deg): 90.00 90.00 90.00
Last column: magnetic moment on the atom in μB.
Atoms (fractional coordinates):
Ag (0.000, 0.000, 0.500)  -0.01
Ag (0.000, 0.500, 0.000)  -0.01
Ag (0.500, 0.000, 0.000)  -0.01
Pt (0.000, 0.000, 0.000)  0.05
V (0.500, 0.500, 0.500)  3.02

Results
**Distance to the lowest polymorph of the same formula**: 0.000 eV per atom
**Energy of formation from the pure elements**: 1.13 eV per atom
**Total magnetization**: 3.65 Bohr magnetons per cell
**DOS at the Fermi energy**: 8.61 states/eV per cell


# 19
Compound: VAgPt6
Source: Alexandria
Functional: GGA-PBE
Structure: optimized geometry

a b c (Å): 3.964 3.964 7.875
angles (deg): 90.00 90.00 90.00
Atoms (fractional coordinates):
Pt (0.500, 0.000, 0.737)
Pt (0.500, 0.500, 0.000)
Pt (0.000, 0.500, 0.263)
Pt (0.500, 0.500, 0.500)
Pt (0.000, 0.500, 0.737)
Pt (0.500, 0.000, 0.263)
V (0.000, 0.000, 0.500)
Ag (0.000, 0.000, 0.000)

Results
**Energy of formation from the pure elements**: -0.27 eV per atom
**Total magnetization**: 0.00 Bohr magnetons per cell
**DOS at the Fermi energy**: 7.93 states/eV per cell


# 20
Compound: VAg2Pt
Source: Alexandria
Functional: GGA-PBE
Structure: optimized geometry

a b c (Å): 4.556 4.556 4.556
angles (deg): 60.00 60.00 60.00
Last column: magnetic moment on the atom in μB.
Atoms (fractional coordinates):
Pt (0.500, 0.500, 0.500)  -0.01
Ag (0.250, 0.250, 0.250)  0.03
Ag (0.750, 0.750, 0.750)  0.03
V (0.000, 0.000, 0.000)  2.30

Results
**Distance to the lowest polymorph of the same formula**: 0.000 eV per atom
**Energy of formation from the pure elements**: 0.27 eV per atom
**Total magnetization**: 2.72 Bohr magnetons per cell
**DOS at the Fermi energy**: 7.24 states/eV per cell